Crystalline FeSb2TeO at its relaxed geometry. Source: the Alexandria database, functional PBE with a Hubbard U.

Cell: 4.9602 4.9602 4.9175 Å, 90.00 90.00 90.00°
Space group P4/mmm (No. 123)
Symmetry-distinct sites (fractional):
Fe1 0.0000 0.0000 0.0000 x1
Sb1 0.0000 0.5000 0.0000 x2
Te1 0.0000 0.0000 0.5000 x1
O1 0.5000 0.5000 0.5000 x1

Uncorrected energy in eV/atom: -3.182